CaOs2CN (GGA-PBE, relaxed); uncorrected formation energy = 5.515 eV per formula unit; density = 9.5 g/cm3; M_tot = 0.00 μB/f.u.; density of states at the Fermi level = 1.090 states/eV per atom; SG = No. 123
1.0
3.897 0.000 0.000
0.000 5.120 0.000
0.000 0.000 3.897
Ca Os C N
1 2 1 1
Direct
0.500 0.500 0.500
0.000 0.000 0.500
0.500 0.000 0.000
0.000 0.000 0.000
0.000 0.500 0.000

***

Os3Br5 (GGA-PBE, relaxed); uncorrected formation energy = 10.429 eV per formula unit; density = 9.9 g/cm3; M_tot = 0.00 μB/f.u.; density of states at the Fermi level = 0.997 states/eV per atom; energy above the most stable polymorph in this dataset = 3.14 eV/f.u.; SG = No. 193
1.0
7.893 0.000 0.000
-3.946 6.835 0.000
0.000 0.000 6.012
Os Br
6 10
Direct
0.539 0.000 0.250
0.461 0.000 0.750
0.000 0.539 0.250
0.461 0.461 0.250
0.539 0.539 0.750
0.000 0.461 0.750
0.333 0.667 0.000
0.667 0.333 0.500
0.667 0.333 0.000
0.333 0.667 0.500
0.234 0.000 0.250
0.766 0.000 0.750
0.000 0.234 0.250
0.766 0.766 0.250
0.234 0.234 0.750
0.000 0.766 0.750

***

TmU5P6 (GGA-PBE, relaxed); density = 9.9 g/cm3; M_tot = 10.83 μB/f.u.; density of states at the Fermi level = 2.284 states/eV per atom; ΔE_f = -1.07 eV/atom; SG = No. 12
1.0
6.733 0.168 1.025
1.658 5.716 3.332
0.114 0.058 6.824
P Tm U
6 1 5
Direct
0.751 0.083 0.334
0.249 0.583 0.334
0.250 0.250 0.000
0.750 0.750 0.000
0.751 0.417 0.666
0.249 0.917 0.666
0.000 0.000 0.000
0.500 0.166 0.668
0.000 0.334 0.333
0.500 0.500 0.000
0.000 0.666 0.667
0.500 0.834 0.332

***

The following V values (in Å³/f.u.) correspond, in order, to the records above: 77.8; 162.2; 258.9.